P) Pm3Tm2Pb4: relaxed, GGA-PBE. Values from VASP.

Quantum ESPRESSO input file:
```
&SYSTEM
  ibrav = 0, nat = 9, ntyp = 3
/
ATOMIC_SPECIES
Pm 145.00 Pm.upf
Tm 168.93 Tm.upf
Pb 207.20 Pb.upf
CELL_PARAMETERS angstrom
5.7944 -2.4325 0.0000
5.7944 2.4325 0.0000
-0.7081 0.0000 9.9959
ATOMIC_POSITIONS crystal
Pm 0.0000 0.0000 0.0000
Pm 0.3680 0.3680 0.5853
Pm 0.6320 0.6320 0.4147
Tm 0.3172 0.3172 0.2064
Tm 0.6828 0.6828 0.7936
Pb 0.0778 0.0778 0.6401
Pb 0.3401 0.3401 0.8965
Pb 0.6599 0.6599 0.1035
Pb 0.9222 0.9222 0.3599
```



Q) Pm3Tm2Pb4: relaxed, GGA-PBE. Values from VASP.

Quantum ESPRESSO input file:
```
&SYSTEM
  ibrav = 0, nat = 9, ntyp = 3
/
ATOMIC_SPECIES
Pm 145.00 Pm.upf
Tm 168.93 Tm.upf
Pb 207.20 Pb.upf
CELL_PARAMETERS angstrom
8.1887 -2.5423 0.0000
8.1887 2.5423 0.0000
-1.8565 0.0000 6.6474
ATOMIC_POSITIONS crystal
Pm 0.0000 0.0000 0.0000
Pm 0.1188 0.1188 0.5838
Pm 0.8812 0.8812 0.4162
Tm 0.3324 0.3324 0.9295
Tm 0.6676 0.6676 0.0705
Pb 0.2420 0.2420 0.2815
Pb 0.4922 0.4922 0.7161
Pb 0.5078 0.5078 0.2839
Pb 0.7580 0.7580 0.7185
```



Q) is favored, and the nearest alternative lies 0.046 eV/atom above it.



P) Pm3Tm2Pb3: relaxed, GGA-PBE. Values from VASP.

Quantum ESPRESSO input file:
```
&SYSTEM
  ibrav = 0, nat = 8, ntyp = 3
/
ATOMIC_SPECIES
Pm 145.00 Pm.upf
Tm 168.93 Tm.upf
Pb 207.20 Pb.upf
CELL_PARAMETERS angstrom
-2.1984 2.4948 10.8836
2.1984 -2.4948 10.8836
2.1984 2.4948 -10.8836
ATOMIC_POSITIONS crystal
Pm 0.0000 0.0000 0.0000
Pm 0.3784 0.8784 0.5000
Pm 0.6216 0.1216 0.5000
Tm 0.2453 0.2453 0.0000
Tm 0.7547 0.7547 0.0000
Pb 0.1363 0.6363 0.5000
Pb 0.5000 0.5000 0.0000
Pb 0.8637 0.3637 0.5000
```



Q) Pm3Tm2Pb3: relaxed, GGA-PBE. Values from VASP.

Quantum ESPRESSO input file:
```
&SYSTEM
  ibrav = 0, nat = 16, ntyp = 3
/
ATOMIC_SPECIES
Pm 145.00 Pm.upf
Tm 168.93 Tm.upf
Pb 207.20 Pb.upf
CELL_PARAMETERS angstrom
9.1832 0.0000 0.0000
-4.5916 7.9529 0.0000
0.0000 0.0000 6.6736
ATOMIC_POSITIONS crystal
Pm 0.0000 0.2396 0.2500
Pm 0.0000 0.7604 0.7500
Pm 0.2396 0.0000 0.2500
Pm 0.2396 0.2396 0.7500
Pm 0.7604 0.0000 0.7500
Pm 0.7604 0.7604 0.2500
Tm 0.3333 0.6667 0.0000
Tm 0.3333 0.6667 0.5000
Tm 0.6667 0.3333 0.0000
Tm 0.6667 0.3333 0.5000
Pb 0.0000 0.3979 0.7500
Pb 0.0000 0.6021 0.2500
Pb 0.3979 0.0000 0.7500
Pb 0.3979 0.3979 0.2500
Pb 0.6021 0.0000 0.2500
Pb 0.6021 0.6021 0.7500
```



Q) is favored, and the nearest alternative lies 0.132 eV/atom above it.